(1)
A plane-wave DFT calculation with PBE was carried out for crystalline ZnGaSb2Te at its relaxed geometry.

```
ZnGaSb2Te
1.0
5.192 0.000 0.000
0.000 5.192 0.000
0.000 0.000 5.595
Sb Zn Te Ga
2 1 1 1
Cartesian
0.000 2.596 0.000
2.596 0.000 0.000
0.000 0.000 0.000
0.000 0.000 2.798
2.596 2.596 2.798
```

Output
For the excess energy over the best structure of this formula in the dataset, the calculation gives 0.0 meV per atom. As for the symmetry: P4/mmm (123). For the formation energy without anion corrections, the calculation gives 43.2 kJ/mol of atoms.



(2)
A plane-wave DFT calculation with PBE was carried out for crystalline Sm3Y6ErSc2 at its relaxed geometry.

```
Sm3Y6ErSc2
1.0
-2.203 2.090 -5.322
-0.562 -5.932 1.428
-9.175 3.446 6.326
Sm Y Er Sc
3 6 1 2
Cartesian
-5.423 -2.870 3.465
-6.516 2.475 -1.033
-5.970 -0.198 1.216
-9.307 1.073 0.737
-4.281 -2.029 -1.371
-2.633 -1.469 1.695
-8.757 -1.620 3.003
-7.659 1.633 3.803
-3.183 1.224 -0.571
0.000 0.000 0.000
-1.109 -3.259 -0.822
-1.656 -0.583 -3.073
```

Output
As for the symmetry: C2/m (12). The value obtained for the formation energy is 42.8 meV per atom.



(3)
A plane-wave DFT calculation with PBE was carried out for crystalline Tl4SbS at its relaxed geometry.

```
Tl4SbS
1.0
-6.198 7.370 1.733
-1.518 -2.586 5.569
1.067 7.859 3.941
Tl Sb S
8 2 2
Cartesian
-2.581 7.418 8.544
-5.505 11.401 8.769
-3.522 9.380 5.023
-6.155 7.070 6.824
-0.494 5.573 4.419
-3.127 3.263 6.220
-1.144 1.242 2.475
-4.068 5.225 2.700
0.534 3.930 1.971
-3.324 6.321 5.622
-3.858 2.392 3.651
0.000 0.000 0.000
```

Output
As for the symmetry: P2_1/c (14). For the formation energy without anion corrections, the calculation gives -5.0 kJ/mol of atoms.



(4)
A plane-wave DFT calculation with PBE was carried out for crystalline ErMg2Sn at its relaxed geometry.

```
ErMg2Sn
1.0
4.733 0.000 0.000
0.000 4.475 0.000
0.000 0.000 4.475
Mg Sn Er
2 1 1
Cartesian
0.000 0.000 2.237
0.000 2.237 0.000
2.366 0.000 0.000
2.366 2.237 2.237
```

Output
For the excess energy over the best structure of this formula in the dataset, the calculation gives 0.0 meV per atom. As for the symmetry: P4/mmm (123). The value obtained for the formation energy is -399.0 meV per atom.



(5)
A plane-wave DFT calculation with PBE was carried out for crystalline Pr5As4P at its relaxed geometry.

```
Pr5As4P
1.0
-4.017 1.371 -4.331
-2.760 -5.908 -3.557
-7.032 0.301 2.372
Pr As P
5 4 1
Cartesian
-10.357 -0.853 -3.409
-7.665 -4.151 -2.705
-6.152 -0.081 -2.820
-3.460 -3.380 -2.116
-2.013 0.687 -2.171
-8.334 -1.566 -1.266
-9.648 -3.440 -4.886
-4.169 -0.792 -0.639
-5.483 -2.666 -4.259
-0.005 0.002 -0.005
```

Output
As for the symmetry: I4/m (87). The value obtained for the formation energy is -1502.4 meV per atom.



(6)
A plane-wave DFT calculation with PBE was carried out for crystalline BeSe2I at its relaxed geometry.

```
BeSe2I
1.0
0.000 3.503 3.503
3.503 0.000 3.503
3.503 3.503 0.000
I Be Se
1 1 2
Cartesian
3.503 3.503 3.503
0.000 0.000 0.000
1.751 1.751 1.751
5.254 5.254 5.254
```

Output
For the excess energy over the best structure of this formula in the dataset, the calculation gives 968.6 meV per atom. As for the symmetry: Fm-3m (225). For the formation energy without anion corrections, the calculation gives 88.2 kJ/mol of atoms.



(7)
A plane-wave DFT calculation with PBE was carried out for crystalline DyBeAl at its relaxed geometry.

```
DyBeAl
1.0
4.361 0.000 0.000
2.181 3.777 0.000
2.181 1.259 3.561
Be Al Dy
1 1 1
Cartesian
2.181 1.259 0.890
4.361 2.518 1.780
0.000 0.000 0.000
```

Output
For the excess energy over the best structure of this formula in the dataset, the calculation gives 73.8 meV per atom. As for the symmetry: F-43m (216). The value obtained for the formation energy is -181.7 meV per atom.



(8)
A plane-wave DFT calculation with PBE was carried out for crystalline Ni4AgRu2 at its relaxed geometry.

```
Ni4AgRu2
1.0
-0.800 4.308 1.167
-3.303 -1.369 2.789
1.876 1.001 6.399
Ru Ag Ni
2 1 4
Cartesian
-0.970 2.565 7.484
-1.258 1.375 2.872
0.000 0.000 0.000
-2.456 2.743 5.811
0.228 1.198 4.545
-1.652 -0.685 1.395
-0.400 2.154 0.584
```

Output
As for the symmetry: I4/mmm (139). The value obtained for the formation energy is 1395.9 meV per atom.



(9)
A plane-wave DFT calculation with PBE was carried out for crystalline Zn2SnP at its relaxed geometry.

```
Zn2SnP
1.0
0.000 3.356 3.356
3.356 0.000 3.356
3.356 3.356 0.000
P Zn Sn
1 2 1
Cartesian
0.000 0.000 0.000
1.678 1.678 1.678
5.034 5.034 5.034
3.356 3.356 3.356
```

Output
As for the symmetry: Fm-3m (225). The value obtained for the formation energy is 349.8 meV per atom.



(10)
A plane-wave DFT calculation with PBE was carried out for crystalline BaLi2NdP2 at its relaxed geometry.

```
BaLi2NdP2
1.0
-1.454 2.298 3.317
-2.764 -1.736 -2.782
-0.340 -7.057 4.740
Ba Li Nd P
1 2 1 2
Cartesian
0.000 0.000 0.000
-2.576 -5.547 2.714
-1.982 -0.948 2.561
-0.170 -3.529 2.370
-2.426 -2.424 0.616
-2.133 -4.071 4.658
```

Output
As for the symmetry: P-3m1 (164). The value obtained for the formation energy is -945.9 meV per atom.



(11)
A plane-wave DFT calculation with PBE was carried out for crystalline La2YGaH at its relaxed geometry.

```
La2YGaH
1.0
4.843 0.000 0.000
0.000 4.843 0.000
0.000 0.000 5.063
Y H Ga La
1 1 1 2
Cartesian
0.000 0.000 2.532
0.000 0.000 0.000
2.422 2.422 2.532
0.000 2.422 0.000
2.422 0.000 0.000
```

Output
As for the symmetry: P4/mmm (123).



(12)
A plane-wave DFT calculation with PBE was carried out for crystalline Ir3Br5 at its relaxed geometry.

```
Ir3Br5
1.0
9.940 0.855 -0.215
-7.867 6.623 -0.037
-1.244 -4.016 6.729
Ir Br
6 10
Cartesian
0.282 1.806 6.197
0.377 2.205 0.013
1.294 -0.577 3.178
-0.540 5.038 3.368
2.447 1.387 4.444
4.006 1.305 2.448
-5.477 2.204 4.401
6.326 0.567 2.778
6.689 -1.106 5.731
-4.776 5.836 1.411
2.616 2.705 1.027
-0.455 -0.125 4.834
3.061 -0.953 4.884
-0.136 4.628 1.036
-0.255 0.184 1.408
1.043 3.442 4.446
```

Output
For the excess energy over the best structure of this formula in the dataset, the calculation gives 0.0 meV per atom. As for the symmetry: P1 (1). For the formation energy without anion corrections, the calculation gives 38.0 kJ/mol of atoms.



Number 1: VASP energy -13.5 eV/cell. Number 2: VASP energy -69.7 eV/cell. Number 3: VASP energy -36.0 eV/cell. Number 4: VASP energy -13.4 eV/cell. Number 5: VASP energy -62.9 eV/cell. Number 6: VASP energy -8.6 eV/cell. Number 7: VASP energy -12.6 eV/cell. Number 8: VASP energy -34.8 eV/cell. Number 9: VASP energy -10.6 eV/cell. Number 10: VASP energy -27.0 eV/cell. Number 11: VASP energy -24.4 eV/cell. Number 12: VASP energy -63.6 eV/cell.